Record 1
Here is a relaxed SrMg2SbRu crystal from the Alexandria database. Energies are from GGA-PBE.

Unit cell a=5.2632 b=5.2632 c=6.1887 alpha=90.00 beta=90.00 gamma=90.00
Last column: nearest neighbours and their distance in Å.
Fractional coordinates of all 5 atoms:
Sr: 0.0000 0.0000 0.0000  2 Sb 3.09
Mg: 0.0000 0.5000 0.5000  2 Sb 2.63
Mg: 0.5000 0.0000 0.5000  2 Sb 2.63
Sb: 0.0000 0.0000 0.5000  4 Mg 2.63
Ru: 0.5000 0.5000 0.0000  4 Sr 3.72, 8 Mg 4.06

DOS at the Fermi energy, states/eV per cell: 5.526
Space-group type: P4/mmm (123)
VASP energy, eV per atom: -2.839
Raw formation energy, eV/atom: 0.815
Calculated volume, A^3/atom: 34.3


Record 2
Here is a relaxed KBa2Cl crystal from the Alexandria database. Energies are from GGA-PBE.

Unit cell a=4.0208 b=4.0208 c=11.9946 alpha=90.00 beta=90.00 gamma=90.00
Last column: nearest neighbours and their distance in Å.
Fractional coordinates of all 4 atoms:
K: 0.0000 0.0000 0.0000  4 K 4.02
Ba: 0.5000 0.5000 0.3144  4 Cl 3.61, 4 Ba 4.02
Ba: 0.5000 0.5000 0.6856  4 Cl 3.61, 4 Ba 4.02
Cl: 0.0000 0.0000 0.5000  8 Ba 3.61, 4 Cl 4.02

DOS at the Fermi energy, states/eV per cell: 4.554
Polymorph energy (0 for the lowest one), meV per atom: 172.1
Space-group type: P4/mmm (123)
VASP energy, eV per atom: -2.355
Raw formation energy, eV/atom: -0.657
Calculated volume, A^3/atom: 48.5


Record 3
Here is a relaxed Dy6In3Te crystal from the Alexandria database. Energies are from GGA-PBE.

Unit cell a=9.2209 b=9.2209 c=7.0690 alpha=90.00 beta=90.00 gamma=92.46
Last column: nearest neighbours and their distance in Å.
Fractional coordinates of all 20 atoms:
Dy: 0.0116 0.9884 0.5000  2 Te 2.91-2.92, 2 In 3.19
Dy: 0.1644 0.3158 0.7968  2 In 3.18-3.37, 1 Te 3.37, 2 Dy 3.39-3.49
Dy: 0.2066 0.5410 0.4193  1 Te 3.02, 4 In 3.04-3.33, 1 Dy 3.22
Dy: 0.3083 0.6917 0.8866  1 Te 2.97, 4 In 3.07-3.16
Dy: 0.3158 0.1644 0.2968  2 In 3.18-3.37, 1 Te 3.37, 2 Dy 3.39-3.49
Dy: 0.4590 0.7934 0.4193  1 Te 3.02, 4 In 3.04-3.33, 1 Dy 3.22
Dy: 0.5410 0.2066 0.9193  1 Te 3.02, 4 In 3.04-3.33, 1 Dy 3.22
Dy: 0.6842 0.8356 0.7968  2 In 3.18-3.37, 1 Te 3.37, 2 Dy 3.39-3.49
Dy: 0.6917 0.3083 0.3866  1 Te 2.97, 4 In 3.07-3.16
Dy: 0.7934 0.4590 0.9193  1 Te 3.02, 4 In 3.04-3.33, 1 Dy 3.22
Dy: 0.8356 0.6842 0.2968  2 In 3.18-3.37, 1 Te 3.37, 2 Dy 3.39-3.49
Dy: 0.9884 0.0116 0.0000  2 Te 2.91-2.92, 2 In 3.19
In: 0.0132 0.3090 0.2302  6 Dy 3.04-3.37
In: 0.3090 0.0132 0.7302  6 Dy 3.04-3.37
In: 0.4969 0.5031 0.1545  6 Dy 3.07-3.30
In: 0.5031 0.4969 0.6545  6 Dy 3.07-3.30
In: 0.6910 0.9868 0.2302  6 Dy 3.04-3.37
In: 0.9868 0.6910 0.7302  6 Dy 3.04-3.37
Te: 0.1730 0.8270 0.2200  5 Dy 2.91-3.02
Te: 0.8270 0.1730 0.7200  5 Dy 2.91-3.02

DOS at the Fermi energy, states/eV per cell: 13.871
Space-group type: Cmc2_1 (36)
VASP energy, eV per atom: -4.280
Raw formation energy, eV/atom: -0.383
Calculated volume, A^3/atom: 30.0


Record 4
Here is a relaxed Sc7Cd6 crystal from the Alexandria database. Energies are from GGA-PBE.

Unit cell a=10.6505 b=10.6505 c=10.6505 alpha=32.66 beta=32.66 gamma=32.66
Last column: nearest neighbours and their distance in Å.
Fractional coordinates of all 13 atoms:
Sc: 0.0000 0.0000 0.0000  6 Sc 3.00
Sc: 0.0874 0.0874 0.5832  5 Sc 2.97-3.02, 4 Cd 3.11-3.19
Sc: 0.0874 0.5832 0.0874  5 Sc 2.97-3.02, 4 Cd 3.11-3.19
Sc: 0.4168 0.9126 0.9126  5 Sc 2.97-3.02, 4 Cd 3.11-3.19
Sc: 0.5832 0.0874 0.0874  5 Sc 2.97-3.02, 4 Cd 3.11-3.19
Sc: 0.9126 0.4168 0.9126  5 Sc 2.97-3.02, 4 Cd 3.11-3.19
Sc: 0.9126 0.9126 0.4168  5 Sc 2.97-3.02, 4 Cd 3.11-3.19
Cd: 0.1667 0.1667 0.1667  6 Sc 3.11-3.13, 3 Cd 3.46
Cd: 0.3471 0.3471 0.3471  1 Cd 3.11, 6 Sc 3.33-3.48
Cd: 0.4500 0.4500 0.4500  2 Cd 3.02-3.11, 6 Sc 3.19
Cd: 0.5500 0.5500 0.5500  2 Cd 3.02-3.11, 6 Sc 3.19
Cd: 0.6529 0.6529 0.6529  1 Cd 3.11, 6 Sc 3.33-3.48
Cd: 0.8333 0.8333 0.8333  6 Sc 3.11-3.13, 3 Cd 3.46

DOS at the Fermi energy, states/eV per cell: 14.368
Space-group type: R-3m (166)
VASP energy, eV per atom: -3.757
Calculated volume, A^3/atom: 24.1
E_form, eV/atom: 0.075


Record 5
Here is a relaxed Pr4IrSe2Br crystal from the Alexandria database. Energies are from GGA-PBE.

Unit cell a=7.5118 b=4.1712 c=7.5564 alpha=90.00 beta=108.34 gamma=90.00
Last column: nearest neighbours and their distance in Å.
Fractional coordinates of all 8 atoms:
Pr: 0.2296 0.0000 0.2208  2 Ir 2.88, 3 Se 3.01-3.20, 1 Br 3.12
Pr: 0.2585 0.5000 0.7717  3 Se 2.94-3.14, 1 Ir 2.98, 2 Br 3.13
Pr: 0.7415 0.5000 0.2283  3 Se 2.94-3.14, 1 Ir 2.98, 2 Br 3.13
Pr: 0.7704 0.0000 0.7792  2 Ir 2.88, 3 Se 3.01-3.20, 1 Br 3.12
Ir: 0.0000 0.5000 0.0000  6 Pr 2.88-2.98
Se: 0.5000 0.0000 0.0000  6 Pr 2.94-3.01
Se: 0.5000 0.5000 0.5000  6 Pr 3.14-3.20
Br: 0.0000 0.0000 0.5000  6 Pr 3.12-3.13

DOS at the Fermi energy, states/eV per cell: 5.853
Space-group type: P2/m (10)
VASP energy, eV per atom: -5.959
Raw formation energy, eV/atom: -1.382
Calculated volume, A^3/atom: 28.1


Record 6
Here is a relaxed Mg2NbHW crystal from the Alexandria database. Energies are from GGA-PBE.

Unit cell a=5.3805 b=5.3805 c=4.6766 alpha=90.00 beta=90.00 gamma=90.00
Last column: nearest neighbours and their distance in Å.
Fractional coordinates of all 5 atoms:
Mg: 0.0000 0.5000 0.0000  2 W 2.69
Mg: 0.5000 0.0000 0.0000  2 W 2.69
Nb: 0.0000 0.0000 0.5000  2 W 2.34
H: 0.5000 0.5000 0.5000  8 Mg 3.56, 4 Nb 3.80
W: 0.0000 0.0000 0.0000  2 Nb 2.34

DOS at the Fermi energy, states/eV per cell: 2.870
Space-group type: P4/mmm (123)
VASP energy, eV per atom: -4.274
Calculated volume, A^3/atom: 27.1


Record 7
Here is a relaxed AcNpAs4 crystal from the Alexandria database. Energies are from GGA-PBE.

Unit cell a=5.8044 b=5.8044 c=5.8044 alpha=60.00 beta=60.00 gamma=60.00
Last column: nearest neighbours and their distance in Å.
Fractional coordinates of all 6 atoms:
Ac: 0.0000 0.0000 0.0000  12 As 3.41, 4 Np 3.55
Np: 0.7500 0.7500 0.7500  12 As 3.40, 4 Ac 3.55
As: 0.3767 0.3767 0.3767  6 As 2.86-2.94
As: 0.3767 0.3767 0.8699  6 As 2.86-2.94
As: 0.3767 0.8699 0.3767  6 As 2.86-2.94
As: 0.8699 0.3767 0.3767  6 As 2.86-2.94

DOS at the Fermi energy, states/eV per cell: 12.823
Space-group type: F-43m (216)
VASP energy, eV per atom: -6.188
Calculated volume, A^3/atom: 23.0
E_form, eV/atom: -0.247


Record 8
Here is a relaxed Ho4SiBiSe2 crystal from the Alexandria database. Energies are from GGA-PBE.

Unit cell a=7.2108 b=4.1808 c=7.3248 alpha=90.00 beta=109.45 gamma=90.00
Last column: nearest neighbours and their distance in Å.
Fractional coordinates of all 8 atoms:
Ho: 0.2416 0.0000 0.2320  2 Si 2.88, 3 Se 2.91-3.04, 1 Bi 3.03
Ho: 0.2515 0.5000 0.7699  1 Si 2.86, 3 Se 2.90-3.08, 2 Bi 3.03
Ho: 0.7485 0.5000 0.2301  1 Si 2.86, 3 Se 2.90-3.08, 2 Bi 3.03
Ho: 0.7584 0.0000 0.7680  2 Si 2.88, 3 Se 2.91-3.04, 1 Bi 3.03
Si: 0.0000 0.5000 0.0000  6 Ho 2.86-2.88
Bi: 0.0000 0.0000 0.5000  6 Ho 3.03
Se: 0.5000 0.0000 0.0000  6 Ho 2.90-2.91
Se: 0.5000 0.5000 0.5000  6 Ho 3.04-3.08

DOS at the Fermi energy, states/eV per cell: 1.704
Space-group type: P2/m (10)
VASP energy, eV per atom: -5.600
Raw formation energy, eV/atom: -1.277
Calculated volume, A^3/atom: 26.0


- What is the calculated volume in the fourth record?
  24.1 A^3/atom